(1)
HfBe10Fe | the Alexandria database | GGA-PBE | relaxed; VASP energy = -57.07 eV/f.u.
1.0
3.464 0.000 0.000
0.000 4.315 0.000
0.000 0.000 7.561
Hf Be Fe
1 10 1
Direct
0.000 0.000 0.000
0.000 0.000 0.348
0.000 0.000 0.652
0.000 0.500 0.192
0.000 0.500 0.808
0.500 0.000 0.500
0.500 0.248 0.258
0.500 0.248 0.742
0.500 0.500 0.000
0.500 0.752 0.258
0.500 0.752 0.742
0.000 0.500 0.500



(2)
Hf2BeFe | the Alexandria database | GGA-PBE | relaxed; VASP energy = -32.92 eV/f.u.
1.0
3.151 0.000 0.000
0.000 3.151 0.000
0.000 0.000 6.220
Hf Be Fe
2 1 1
Direct
0.000 0.000 0.248
0.000 0.000 0.752
0.500 0.500 0.500
0.500 0.500 0.000



(3)
Hf3BeFe | the Alexandria database | GGA-PBE | relaxed; VASP energy = -39.21 eV/f.u.; energy above the most stable polymorph in this dataset = 0.00 kJ/mol of atoms
1.0
4.712 0.000 0.000
0.000 4.712 0.000
0.000 0.000 4.712
Hf Be Fe
3 1 1
Direct
0.000 0.000 0.500
0.000 0.500 0.000
0.500 0.000 0.000
0.500 0.500 0.500
0.000 0.000 0.000



(4)
Hf2Be15Fe2 | the Alexandria database | GGA-PBE | relaxed; VASP energy = -97.34 eV/f.u.
1.0
3.794 2.190 3.638
-3.794 2.190 3.638
0.000 -4.381 3.638
Hf Be Fe
2 15 2
Direct
0.159 0.159 0.159
0.841 0.841 0.841
0.000 0.500 0.500
0.158 0.158 0.653
0.158 0.653 0.158
0.217 0.500 0.783
0.217 0.783 0.500
0.347 0.842 0.842
0.500 0.000 0.500
0.500 0.217 0.783
0.500 0.500 0.000
0.500 0.783 0.217
0.653 0.158 0.158
0.783 0.217 0.500
0.783 0.500 0.217
0.842 0.347 0.842
0.842 0.842 0.347
0.400 0.400 0.400
0.600 0.600 0.600



(5)
Hf2Be2Fe | the Alexandria database | GGA-PBE | relaxed; VASP energy = -34.93 eV/f.u.; energy above the most stable polymorph in this dataset = 28.98 kJ/mol of atoms
1.0
-1.489 1.489 8.280
1.489 -1.489 8.280
1.489 1.489 -8.280
Hf Be Fe
2 2 1
Direct
0.100 0.100 0.000
0.900 0.900 0.000
0.250 0.750 0.500
0.750 0.250 0.500
0.500 0.500 0.000



(6)
HfBe9Fe2 | the Alexandria database | GGA-PBE | relaxed; VASP energy = -63.14 eV/f.u.
1.0
2.169 1.252 6.844
-2.169 1.252 6.844
0.000 -2.505 6.844
Hf Be Fe
1 9 2
Direct
0.000 0.000 0.000
0.082 0.590 0.590
0.333 0.333 0.333
0.410 0.410 0.918
0.410 0.918 0.410
0.500 0.500 0.500
0.590 0.082 0.590
0.590 0.590 0.082
0.667 0.667 0.667
0.918 0.410 0.410
0.144 0.144 0.144
0.856 0.856 0.856



(7)
Hf2BeFe | the Alexandria database | GGA-PBE | relaxed; VASP energy = -29.95 eV/f.u.
1.0
1.506 0.870 8.809
-1.506 0.870 8.809
0.000 -1.739 8.809
Hf Be Fe
2 1 1
Direct
0.092 0.092 0.092
0.908 0.908 0.908
0.500 0.500 0.500
0.000 0.000 0.000



(8)
Hf2Be3Fe | the Alexandria database | GGA-PBE | relaxed; VASP energy = -40.57 eV/f.u.
1.0
2.391 1.380 3.896
-2.391 1.380 3.896
0.000 -2.761 3.896
Hf Be Fe
2 3 1
Direct
0.126 0.126 0.126
0.874 0.874 0.874
0.000 0.500 0.500
0.500 0.000 0.500
0.500 0.500 0.000
0.500 0.500 0.500



(9)
Hf2Be2Fe | the Alexandria database | GGA-PBE | relaxed; VASP energy = -33.77 eV/f.u.; energy above the most stable polymorph in this dataset = 51.24 kJ/mol of atoms
1.0
7.085 0.000 0.000
0.000 7.085 0.000
0.000 0.000 2.991
Hf Be Fe
4 4 2
Direct
0.187 0.313 0.000
0.313 0.813 0.000
0.687 0.187 0.000
0.813 0.687 0.000
0.102 0.602 0.500
0.398 0.102 0.500
0.602 0.898 0.500
0.898 0.398 0.500
0.000 0.000 0.000
0.500 0.500 0.000



(10)
HfBe2Fe | the Alexandria database | GGA-PBE | relaxed; VASP energy = -24.66 eV/f.u.; energy above the most stable polymorph in this dataset = 33.99 kJ/mol of atoms
1.0
-1.913 1.913 7.489
1.913 -1.913 7.489
1.913 1.913 -7.489
Hf Be Fe
2 4 2
Direct
0.375 0.625 0.750
0.625 0.375 0.250
0.000 0.000 0.000
0.000 0.000 0.500
0.000 0.500 0.000
0.500 0.000 0.500
0.125 0.875 0.250
0.875 0.125 0.750



(11)
HfBeFe4 | the Alexandria database | GGA-PBE | relaxed; VASP energy = -48.01 eV/f.u.
1.0
0.000 3.348 3.348
3.348 0.000 3.348
3.348 3.348 0.000
Hf Be Fe
1 1 4
Direct
0.000 0.000 0.000
0.250 0.250 0.250
0.129 0.624 0.624
0.624 0.129 0.624
0.624 0.624 0.129
0.624 0.624 0.624



(12)
Hf2BeFe | the Alexandria database | GGA-PBE | relaxed; VASP energy = -30.32 eV/f.u.
1.0
-3.481 3.481 2.746
3.481 -3.481 2.746
3.481 3.481 -2.746
Hf Be Fe
4 2 2
Direct
0.099 0.625 0.974
0.375 0.349 0.474
0.651 0.125 0.026
0.875 0.901 0.526
0.250 0.750 0.500
0.500 0.500 0.000
0.000 0.000 0.000
0.750 0.250 0.500



(13)
HfBe2Fe | the Alexandria database | GGA-PBE | relaxed; VASP energy = -26.07 eV/f.u.; energy above the most stable polymorph in this dataset = 0.00 kJ/mol of atoms
1.0
0.000 2.881 2.881
2.881 0.000 2.881
2.881 2.881 0.000
Hf Be Fe
1 2 1
Direct
0.000 0.000 0.000
0.250 0.250 0.250
0.750 0.750 0.750
0.500 0.500 0.500